Material: MgGa3S
Method: DFT, PBE-GGA
State: optimized geometry

The space group is Pm-3m (No. 221) and the conventional cell measures 4.9079, 4.9079 and 4.9079 Å, with angles of 90.00, 90.00 and 90.00 degrees. The asymmetric unit holds Mg at (0.0000, 0.0000, 0.0000), Ga at (0.0000, 0.5000, 0.5000) and S at (0.5000, 0.5000, 0.5000).

The energy relative to the elements, uncorrected comes out at 272 meV/atom. As for the energy above the most stable polymorph in this dataset: 0.000 eV/atom. The total moment is 0.000 μB/cell.

=====

Material: CaSc2Cr
Method: DFT, PBE-GGA
State: optimized geometry

The space group is R-3m (No. 166, hexagonal axes) and the conventional cell measures 3.3100, 3.3100 and 31.0358 Å, with angles of 90.00, 90.00 and 120.00 degrees. The asymmetric unit holds Ca at (0.0000, 0.0000, 0.0000), Sc at (0.0000, 0.0000, 0.2339) and Cr at (0.0000, 0.0000, 0.5000).

As for the energy above the most stable polymorph in this dataset: 0.208 eV/atom. The total moment is 7.910 μB/cell.

=====

Electronic total energy / eV/atom: -2.69; -5.65